Record 1
This record from Alexandria via LeMat-Bulk describes crystalline Na2AgOsF at its relaxed geometry. The functional is PBE.

Structure (extended XYZ):
```
5
Lattice="5.5434 0.0000 0.0000 0.0000 5.5434 0.0000 0.0000 0.0000 5.0859" Properties=species:S:1:pos:R:3 pbc="T T T"
Na 0.0000 2.7717 0.0000
Na 2.7717 0.0000 0.0000
Ag 0.0000 0.0000 0.0000
Os 0.0000 0.0000 2.5429
F 2.7717 2.7717 2.5429
```

## Properties
**Spin magnetization**: 0.5912 μB/atom
**Space-group type**: P4/mmm (123)
**Electronic total energy**: -3.00 eV per atom

Record 2
This record from Alexandria via LeMat-Bulk describes crystalline NaPaAgF6 at its relaxed geometry. The functional is PBE.

Structure (extended XYZ):
```
18
Lattice="6.1338 0.0000 0.0000 -3.0669 5.3120 0.0000 0.0000 0.0000 9.7427" Properties=species:S:1:pos:R:3 pbc="T T T"
Na 0.0000 3.5413 2.4357
Na 3.0669 1.7707 7.3070
Pa 0.0000 3.5413 7.3070
Pa 3.0669 1.7707 2.4357
Ag 0.0000 0.0000 0.0000
Ag 0.0000 0.0000 4.8714
F -1.0116 1.9404 6.1673
F -1.8923 3.4657 8.4468
F 1.0116 1.9404 8.4468
F -0.8806 5.2179 6.1673
F 2.1863 0.0941 1.2959
F 1.1746 1.8463 3.5754
F 1.8923 3.4657 6.1673
F 0.8806 5.2179 8.4468
F 3.9475 0.0941 3.5754
F 2.0552 3.3716 1.2959
F 4.9592 1.8463 1.2959
F 4.0785 3.3716 3.5754
```

## Properties
**Spin magnetization**: 0.1085 μB/atom
**Space-group type**: P-31c (163)
**Electronic total energy**: -5.71 eV per atom